Model w:
# Nd2PuNi

An optimized crystal structure of Nd2PuNi (PBE-GGA, Alexandria).

Unit cell a=3.5228 b=3.5228 c=8.6227 alpha=90.00 beta=90.00 gamma=90.00
With the nearest neighbours (Å) after each atom.
Fractional positions:
Ni (0.5000, 0.5000, 0.0000)  8 Nd 3.01
Nd (0.0000, 0.0000, 0.8038)  4 Ni 3.01
Nd (0.0000, 0.0000, 0.1962)  4 Ni 3.01
Pu (0.5000, 0.5000, 0.5000)  4 Pu 3.52, 8 Nd 3.61

## Properties
The calculation puts the density of states at the Fermi level at 2.074 states/eV/atom. As for the crystal system: tetragonal. The volume comes out at 107.0 Å³ per cell. The space group is P4/mmm (123).

***

Model x:
# Nd2PuNi

An optimized crystal structure of Nd2PuNi (PBE-GGA, Alexandria).

Unit cell a=3.6304 b=3.6304 c=10.6385 alpha=80.18 beta=80.18 gamma=60.00
With the nearest neighbours (Å) after each atom.
Fractional positions:
Ni (0.5000, 0.5000, 0.5000)  6 Nd 2.77
Nd (0.1087, 0.1087, 0.6738)  3 Ni 2.77
Nd (0.8913, 0.8913, 0.3262)  3 Ni 2.77
Pu (0.0000, 0.0000, 0.0000)  2 Nd 3.40, 6 Pu 3.63

## Properties
The calculation puts the density of states at the Fermi level at 2.996 states/eV/atom. As for the crystal system: trigonal. The volume comes out at 119.0 Å³ per cell. The space group is R-3m (166).

***

Question: which arrangement is favored energetically? Ranking from most to least stable: model w, model x.